Compound: NdCuMo2O8
Source: Alexandria
Functional: PBE+U
Structure: relaxed

Unit cell a=10.0608 b=14.9746 c=10.4795 alpha=90.00 beta=90.00 gamma=90.00
Space group Pbca (No. 61)
Inequivalent atoms, fractional coordinates:
Nd: 0.2217 0.1037 0.0350 x8
Cu: 0.1925 0.1949 0.6818 x8
Mo: 0.0025 0.0584 0.7205 x8
Mo: 0.1710 0.6533 0.3976 x8
O: 0.0043 0.1663 0.0882 x8
O: 0.0951 0.5232 0.1341 x8
O: 0.0986 0.6237 0.8855 x8
O: 0.1039 0.5036 0.6680 x8
O: 0.1127 0.1324 0.8171 x8
O: 0.2122 0.5394 0.4231 x8
O: 0.2267 0.6832 0.2385 x8
O: 0.2442 0.2264 0.5131 x8

Values from the calculation:
Final energy (eV per atom): -7.12
Calculated density (g/cm³): 4.4